(1)
La4Ce3DyN8, optimized geometry, DFT PBE; energy relative to the elements, uncorrected = -1441 meV per atom
1.0
3.6249 2.0928 5.9743
-3.6249 2.0928 5.9743
0.0000 -4.1857 5.9743
La Ce Dy N
4 3 1 8
Direct
0.0000 0.0000 0.0000 La
0.0000 0.5000 0.5000 La
0.5000 0.0000 0.5000 La
0.5000 0.5000 0.0000 La
0.0000 0.0000 0.5000 Ce
0.0000 0.5000 0.0000 Ce
0.5000 0.0000 0.0000 Ce
0.5000 0.5000 0.5000 Dy
0.2409 0.7433 0.7433 N
0.2419 0.2419 0.2419 N
0.2567 0.2567 0.7591 N
0.2567 0.7591 0.2567 N
0.7433 0.2409 0.7433 N
0.7433 0.7433 0.2409 N
0.7581 0.7581 0.7581 N
0.7591 0.2567 0.2567 N

(2)
## LaH2BrO2 (PBE)

Data for a geometry-optimized LaH2BrO2 structure.

```
LaH2BrO2
1.0
6.3915 0.0000 0.0000
0.0000 4.2066 0.0000
-1.4198 0.0000 7.3484
La H Br O
2 4 2 4
Direct
0.0661 0.2500 0.3196 La
0.9339 0.7500 0.6804 La
0.4778 0.5671 0.7183 H
0.4778 0.9329 0.7183 H
0.5222 0.0671 0.2818 H
0.5222 0.4329 0.2818 H
0.2661 0.7500 0.0566 Br
0.7339 0.2500 0.9434 Br
0.0631 0.2500 0.6234 O
0.4896 0.7500 0.6387 O
0.5104 0.2500 0.3613 O
0.9369 0.7500 0.3766 O
```

(3)
Pu2HfPaP4, optimized geometry, DFT PBE; energy of formation from the pure elements = -10.074 eV/f.u.
1.0
6.7677 0.0000 0.0000
0.0000 3.9128 0.0000
-2.2454 0.0000 6.4027
Pu Hf Pa P
2 1 1 4
Direct
0.0000 0.0000 0.0000 Pu
0.5000 0.5000 0.0000 Pu
0.0000 0.5000 0.5000 Hf
0.5000 0.0000 0.5000 Pa
0.2370 0.0000 0.7370 P
0.2417 0.5000 0.2573 P
0.7583 0.5000 0.7427 P
0.7630 0.0000 0.2630 P

(4)
Sr4Ti3PbO12, optimized geometry, DFT PBE; energy relative to the elements, uncorrected = -2727 meV per atom
1.0
-4.0275 4.0275 4.0275
4.0275 -4.0275 4.0275
4.0275 4.0275 -4.0275
Sr Ti Pb O
4 3 1 12
Direct
0.0000 0.0000 0.5000 Sr
0.0000 0.5000 0.0000 Sr
0.5000 0.0000 0.0000 Sr
0.5000 0.5000 0.5000 Sr
0.0000 0.5000 0.5000 Ti
0.5000 0.0000 0.5000 Ti
0.5000 0.5000 0.0000 Ti
0.0000 0.0000 0.0000 Pb
0.0000 0.2622 0.2622 O
0.0000 0.7378 0.7378 O
0.2500 0.5000 0.7500 O
0.2500 0.7500 0.5000 O
0.2622 0.0000 0.2622 O
0.2622 0.2622 0.0000 O
0.5000 0.2500 0.7500 O
0.5000 0.7500 0.2500 O
0.7378 0.0000 0.7378 O
0.7378 0.7378 0.0000 O
0.7500 0.2500 0.5000 O
0.7500 0.5000 0.2500 O

(5)
Hf2VSnN, optimized geometry, DFT PBE; energy relative to the elements, uncorrected = -684 meV per atom
1.0
4.5643 0.0000 0.0000
0.0000 4.5643 0.0000
0.0000 0.0000 3.9078
Hf V Sn N
2 1 1 1
Direct
0.0000 0.5000 0.0000 Hf
0.5000 0.0000 0.0000 Hf
0.0000 0.0000 0.5000 V
0.5000 0.5000 0.5000 Sn
0.0000 0.0000 0.0000 N

(6)
ZnMoBr2, optimized geometry, DFT PBE; energy relative to the elements, uncorrected = 544 meV per atom; ΔE to the lowest computed polymorph = 0.5663 eV/atom
1.0
-3.8984 3.8984 4.4086
3.8984 -3.8984 4.4086
3.8984 3.8984 -4.4086
Zn Mo Br
2 2 4
Direct
0.0000 0.0000 0.0000 Zn
0.7500 0.2500 0.5000 Zn
0.2500 0.7500 0.5000 Mo
0.5000 0.5000 0.0000 Mo
0.2413 0.6250 0.1163 Br
0.3750 0.4913 0.6163 Br
0.5087 0.1250 0.8837 Br
0.8750 0.7587 0.3837 Br

(7)
BaSc2CuS4, optimized geometry, DFT PBE; energy relative to the elements, uncorrected = -1638 meV per atom
1.0
1.9510 -6.4779 0.0000
1.9510 6.4779 0.0000
0.0000 0.0000 13.1773
Ba Sc Cu S
2 4 2 8
Direct
0.1173 0.8827 0.7500 Ba
0.8827 0.1173 0.2500 Ba
0.3741 0.6259 0.5561 Sc
0.3741 0.6259 0.9439 Sc
0.6259 0.3741 0.0561 Sc
0.6259 0.3741 0.4439 Sc
0.1571 0.8429 0.2500 Cu
0.8429 0.1571 0.7500 Cu
0.0000 0.0000 0.0000 S
0.0000 0.0000 0.5000 S
0.2608 0.7392 0.1069 S
0.2608 0.7392 0.3931 S
0.4336 0.5664 0.7500 S
0.5664 0.4336 0.2500 S
0.7392 0.2608 0.6069 S
0.7392 0.2608 0.8931 S

(8)
Tb5Nd3Ho2, optimized geometry, DFT PBE; ΔE to the lowest computed polymorph = 0.0650 eV/atom; energy of formation from the pure elements = 2.561 eV/f.u.
1.0
-5.6336 8.9033 3.3669
5.6336 -8.9033 3.3669
5.6336 8.9033 -3.3669
Tb Nd Ho
10 6 4
Direct
0.0693 0.7500 0.3193 Tb
0.1695 0.0976 0.2671 Tb
0.2500 0.2500 0.0000 Tb
0.3305 0.5976 0.9280 Tb
0.4307 0.7500 0.6807 Tb
0.5693 0.2500 0.3193 Tb
0.6695 0.4024 0.0720 Tb
0.7500 0.7500 0.0000 Tb
0.8305 0.9024 0.7329 Tb
0.9307 0.2500 0.6807 Tb
0.1713 0.7896 0.9609 Nd
0.2500 0.7500 0.5000 Nd
0.3287 0.2896 0.6183 Nd
0.6713 0.7104 0.3817 Nd
0.7500 0.2500 0.5000 Nd
0.8287 0.2104 0.0391 Nd
0.0273 0.2637 0.2910 Ho
0.4727 0.7637 0.2364 Ho
0.5273 0.2363 0.7636 Ho
0.9727 0.7363 0.7090 Ho

(9)
HfZnP, optimized geometry, DFT PBE; energy of formation from the pure elements = -1.423 eV/f.u.
1.0
2.1492 1.2408 7.0514
-2.1492 1.2408 7.0514
0.0000 -2.4817 7.0514
Hf Zn P
2 2 2
Direct
0.0842 0.0842 0.0842 Hf
0.9158 0.9158 0.9158 Hf
0.3302 0.3302 0.3302 Zn
0.6698 0.6698 0.6698 Zn
0.2132 0.2132 0.2132 P
0.7868 0.7868 0.7868 P

(10)
Tb2Ge3Pt2, optimized geometry, DFT PBE; energy of formation from the pure elements = -6.338 eV/f.u.
1.0
2.1155 -9.1546 0.0000
2.1155 9.1546 0.0000
0.0000 0.0000 7.0688
Tb Ge Pt
4 6 4
Direct
0.0543 0.9457 0.7500 Tb
0.1549 0.8451 0.2500 Tb
0.8451 0.1549 0.7500 Tb
0.9457 0.0543 0.2500 Tb
0.2237 0.7763 0.7500 Ge
0.4374 0.5626 0.5659 Ge
0.4374 0.5626 0.9341 Ge
0.5626 0.4374 0.0659 Ge
0.5626 0.4374 0.4341 Ge
0.7763 0.2237 0.2500 Ge
0.3062 0.6938 0.0468 Pt
0.3062 0.6938 0.4532 Pt
0.6938 0.3062 0.5468 Pt
0.6938 0.3062 0.9532 Pt

(11)
La3NdEr7, optimized geometry, DFT PBE; ΔE to the lowest computed polymorph = 0.1495 eV/atom; energy of formation from the pure elements = 2.947 eV/f.u.
1.0
6.3536 -5.6275 0.0000
6.3536 5.6275 0.0000
-2.7005 0.0000 5.2064
La Nd Er
3 1 7
Direct
0.0000 0.0000 0.0000 La
0.2140 0.7860 0.5000 La
0.7860 0.2140 0.5000 La
0.5000 0.5000 0.0000 Nd
0.0149 0.4049 0.2098 Er
0.2066 0.2066 0.7058 Er
0.4049 0.0149 0.2098 Er
0.5000 0.5000 0.5000 Er
0.5951 0.9851 0.7902 Er
0.7934 0.7934 0.2942 Er
0.9851 0.5951 0.7902 Er

(12)
LuMnCo2, optimized geometry, DFT PBE; ΔE to the lowest computed polymorph = 0.0369 eV/atom; energy of formation from the pure elements = -0.112 eV/f.u.
1.0
3.0626 0.0000 0.0000
0.0000 3.0626 0.0000
0.0000 0.0000 6.1345
Lu Mn Co
1 1 2
Direct
0.0000 0.0000 0.0000 Lu
0.0000 0.0000 0.5000 Mn
0.5000 0.5000 0.2894 Co
0.5000 0.5000 0.7106 Co

Number 1: N(E_F) 8.2 states/eV/f.u., VASP energy -8.236 eV per atom. Number 2: N(E_F) 0.0 states/eV/f.u., VASP energy -5.780 eV per atom. Number 3: N(E_F) 18.1 states/eV/f.u., VASP energy -9.978 eV per atom. Number 4: N(E_F) 0.0 states/eV/f.u., VASP energy -7.408 eV per atom. Number 5: N(E_F) 5.4 states/eV/f.u., VASP energy -8.954 eV per atom. Number 6: N(E_F) 2.4 states/eV/f.u., VASP energy -3.319 eV per atom. Number 7: N(E_F) 2.3 states/eV/f.u., VASP energy -6.036 eV per atom. Number 8: N(E_F) 16.2 states/eV/f.u., VASP energy -4.405 eV per atom. Number 9: N(E_F) 0.8 states/eV/f.u., VASP energy -6.020 eV per atom. Number 10: N(E_F) 2.5 states/eV/f.u., VASP energy -5.933 eV per atom. Number 11: N(E_F) 15.1 states/eV/f.u., VASP energy -4.413 eV per atom. Number 12: N(E_F) 3.2 states/eV/f.u., VASP energy -7.004 eV per atom.